A relaxed structure of Ce4As5Ir. Source: Alexandria via LeMat-Bulk, functional GGA-PBE.

Cell lengths 4.151, 4.151, 16.133 Å; angles 82.61, 82.61, 60.00 degrees
Sites, in units of the cell vectors:
Ce: 0.890 0.890 0.330
Ce: 0.297 0.297 0.109
Ce: 0.703 0.703 0.891
Ce: 0.110 0.110 0.670
As: 0.407 0.407 0.780
As: 0.000 0.000 0.000
As: 0.593 0.593 0.220
As: 0.812 0.812 0.564
As: 0.188 0.188 0.436
Ir: 0.500 0.500 0.500

Calculated values
As for the total energy: -6.77 eV/atom. The calculation puts the calculated volume at 23.805 A^3/atom. For the density of states at the Fermi level, the calculation gives 23.441 states/eV per cell. For the energy of formation, the calculation gives -1.19 eV/atom.